NpCuSbN, optimized geometry, DFT PBE-GGA; crystal system = tetragonal; volume = 70.8 Å³/f.u.; uncorrected formation energy = -615.8 meV/atom
1.0
3.9102 0.0000 0.0000
0.0000 3.9102 0.0000
0.0000 0.0000 9.2640
Np Cu Sb N
2 2 2 2
direct
0.2500 0.2500 0.1198
0.7500 0.7500 0.8802
0.2500 0.7500 0.5000
0.7500 0.2500 0.5000
0.2500 0.2500 0.6897
0.7500 0.7500 0.3103
0.2500 0.7500 0.0000
0.7500 0.2500 0.0000

=====

Dy2HSe, optimized geometry, DFT PBE-GGA; crystal system = trigonal; volume = 80.1 Å³/f.u.; electronic total energy = -19.91 eV for the cell shown
1.0
1.8763 1.0833 6.5656
-1.8763 1.0833 6.5656
0.0000 -2.1666 6.5656
Dy H Se
2 1 1
direct
0.2370 0.2370 0.2370
0.7630 0.7630 0.7630
0.5000 0.5000 0.5000
0.0000 0.0000 0.0000

=====

NaVMo3, optimized geometry, DFT PBE-GGA; DFT formation energy = 1401 meV/atom; crystal system = cubic; volume = 97.9 Å³/f.u.
1.0
4.6093 0.0000 0.0000
0.0000 4.6093 0.0000
0.0000 0.0000 4.6093
Na V Mo
1 1 3
direct
0.0000 0.0000 0.0000
0.5000 0.5000 0.5000
0.0000 0.5000 0.5000
0.5000 0.0000 0.5000
0.5000 0.5000 0.0000

=====

TbPm2Dy3Tm6, optimized geometry, DFT PBE-GGA; DFT formation energy = 21 meV/atom; crystal system = monoclinic; volume = 373.2 Å³/f.u.
1.0
3.0644 -5.3030 0.0000
3.0644 5.3030 0.0000
-2.0360 0.0000 11.4813
Tb Pm Dy Tm
1 2 3 6
direct
0.0000 0.0000 0.0000
0.3334 0.6666 0.0000
0.6666 0.3334 0.0000
0.1666 0.8334 0.5000
0.5000 0.5000 0.5000
0.8334 0.1666 0.5000
0.0845 0.4176 0.2520
0.2484 0.2484 0.7479
0.4176 0.0845 0.2520
0.5824 0.9155 0.7480
0.7516 0.7516 0.2521
0.9155 0.5824 0.7480

=====

Pr2AlPt5, optimized geometry, DFT PBE-GGA; DFT formation energy = -914 meV/atom; crystal system = tetragonal; volume = 166.1 Å³/f.u.
1.0
-3.1404 3.1404 4.2105
3.1404 -3.1404 4.2105
3.1404 3.1404 -4.2105
Pr Al Pt
2 1 5
direct
0.0000 0.5000 0.5000
0.5000 0.0000 0.5000
0.2228 0.2228 0.0000
0.5199 0.5199 0.0000
0.5290 0.5290 0.5495
0.5290 0.9795 0.0000
0.9795 0.5290 0.0000
0.9795 0.9795 0.4505

=====

NdSm2TmS4, optimized geometry, DFT PBE-GGA; crystal system = monoclinic; volume = 179.1 Å³/f.u.; uncorrected formation energy = -1992.2 meV/atom
1.0
6.8947 0.0000 0.0000
0.0000 3.9367 0.0000
-2.2537 0.0000 6.5970
Nd Sm Tm S
1 2 1 4
direct
0.0000 0.0000 0.0000
0.5000 0.0000 0.5000
0.5000 0.5000 0.0000
0.0000 0.5000 0.5000
0.2400 0.0000 0.7366
0.2479 0.5000 0.2597
0.7521 0.5000 0.7403
0.7600 0.0000 0.2634

=====

Sequential M_tot output: 5.24, 0.00, 0.00, 0.00, 0.00, 0.00 Bohr magnetons per cell